# 1
A plane-wave DFT calculation with PBE was carried out for a relaxed structure of AcLaHoTh.

spin magnetization	0.000	μB per formula unit
calculated total energy	-20.86	eV for the cell shown
crystal system	tetragonal
volume	36.0	Å³/atom
energy above the lowest structure with this stoichiometry	0.000	eV per atom
formation energy	0.0424	eV/atom
SG	P4mm (99)

a b c (Å): 3.693 3.693 10.570
angles (deg): 90.00 90.00 90.00
Fractional positions:
1 Th 0.000 0.000 0.565
2 Ho 0.500 0.500 0.343
3 La 0.500 0.500 0.796
4 Ac 0.000 0.000 0.081

=====

# 2
A plane-wave DFT calculation with PBE was carried out for a relaxed structure of AcLaHoTh.

spin magnetization	0.007	μB per formula unit
calculated total energy	-20.06	eV for the cell shown
crystal system	cubic
volume	36.3	Å³/atom
energy above the lowest structure with this stoichiometry	0.201	eV per atom
formation energy	0.2430	eV/atom
SG	F-43m (216)

a b c (Å): 5.900 5.900 5.900
angles (deg): 60.00 60.00 60.00
Fractional positions:
1 Th 0.250 0.250 0.250
2 Ho 0.750 0.750 0.750
3 La 0.500 0.500 0.500
4 Ac 0.000 0.000 0.000

=====

# 3
A plane-wave DFT calculation with PBE was carried out for a relaxed structure of AcLa2HoTl2.

spin magnetization	1.862	μB per formula unit
calculated total energy	-49.80	eV for the cell shown
crystal system	orthorhombic
volume	34.6	Å³/atom
formation energy	-0.2711	eV/atom
SG	Pmc2_1 (26)

a b c (Å): 4.941 8.641 9.727
angles (deg): 90.00 90.00 90.00
Last column: magnetic moment on the atom in μB.
Fractional positions:
1 Ac 0.000 0.482 0.580  0.13
2 Ac 0.000 0.982 0.420  0.13
3 Ho 0.500 0.647 0.314  0.24
4 Ho 0.500 0.147 0.686  0.24
5 Tl 0.000 0.243 0.865  -0.01
6 Tl 0.500 0.774 0.619  -0.01
7 Tl 0.500 0.274 0.381  -0.01
8 Tl 0.000 0.743 0.135  -0.01
9 La 0.500 0.034 0.082  0.27
10 La 0.000 0.866 0.828  0.18
11 La 0.000 0.366 0.172  0.18
12 La 0.500 0.534 0.918  0.27

=====

# 4
A plane-wave DFT calculation with PBE was carried out for a relaxed structure of Ac3La2Ho2Tl4.

spin magnetization	0.003	μB per formula unit
calculated total energy	-42.69	eV for the cell shown
crystal system	trigonal
volume	35.4	Å³/atom
formation energy	-0.1716	eV/atom
SG	P-3m1 (164)

a b c (Å): 5.557 5.557 14.568
angles (deg): 90.00 90.00 120.00
Fractional positions:
1 Ac 0.000 0.000 0.720
2 Ac 0.000 0.000 0.280
3 Ac 0.000 0.000 0.000
4 La 0.667 0.333 0.872
5 La 0.333 0.667 0.128
6 Tl 0.333 0.667 0.866
7 Tl 0.333 0.667 0.368
8 Tl 0.667 0.333 0.134
9 Tl 0.667 0.333 0.632
10 Ho 0.667 0.333 0.424
11 Ho 0.333 0.667 0.576

=====

# 5
A plane-wave DFT calculation with PBE was carried out for a relaxed structure of AcLa5Ho2Tm.

spin magnetization	0.000	μB per formula unit
calculated total energy	-82.13	eV for the cell shown
crystal system	orthorhombic
volume	36.9	Å³/atom
formation energy	0.1452	eV/atom
SG	Cmc2_1 (36)

a b c (Å): 5.622 12.634 9.589
angles (deg): 90.00 90.00 102.86
Fractional positions:
1 La 0.525 0.050 0.257
2 La 0.010 0.020 0.543
3 La 0.689 0.378 0.222
4 La 0.391 0.782 0.030
5 La 0.475 0.950 0.757
6 La 0.609 0.218 0.530
7 La 0.259 0.518 0.356
8 La 0.741 0.482 0.856
9 La 0.311 0.622 0.722
10 La 0.990 0.980 0.043
11 Ho 0.888 0.776 0.785
12 Ho 0.825 0.651 0.175
13 Ho 0.175 0.349 0.675
14 Ho 0.112 0.224 0.285
15 Ac 0.603 0.206 0.925
16 Ac 0.397 0.794 0.425
17 Tm 0.769 0.539 0.530
18 Tm 0.231 0.461 0.030

=====

# 6
A plane-wave DFT calculation with PBE was carried out for a relaxed structure of Ac2La5HoTm.

spin magnetization	0.000	μB per formula unit
calculated total energy	-81.97	eV for the cell shown
crystal system	orthorhombic
volume	37.8	Å³/atom
formation energy	0.1019	eV/atom
SG	Cmcm (63)

a b c (Å): 5.665 11.655 10.611
angles (deg): 90.00 90.00 104.07
Fractional positions:
1 La 0.994 0.988 0.508
2 La 0.277 0.555 0.319
3 La 0.277 0.555 0.697
4 La 0.500 0.000 0.758
5 La 0.006 0.012 0.008
6 La 0.375 0.751 0.008
7 La 0.625 0.249 0.508
8 La 0.723 0.445 0.197
9 La 0.723 0.445 0.819
10 La 0.500 0.000 0.258
11 Ac 0.884 0.769 0.773
12 Ac 0.116 0.231 0.273
13 Ac 0.116 0.232 0.743
14 Ac 0.884 0.768 0.243
15 Tm 0.397 0.793 0.508
16 Tm 0.603 0.207 0.008
17 Ho 0.212 0.424 0.008
18 Ho 0.788 0.576 0.508

=====

# 7
A plane-wave DFT calculation with PBE was carried out for a relaxed structure of AcLa2Ho5Tm.

spin magnetization	0.002	μB per formula unit
calculated total energy	-77.97	eV for the cell shown
crystal system	tetragonal
volume	34.0	Å³/atom
formation energy	0.2599	eV/atom
SG	I4/mcm (140)

a b c (Å): 8.786 8.786 10.064
angles (deg): 115.88 115.88 90.00
Fractional positions:
1 La 0.117 0.383 0.000
2 La 0.617 0.117 0.000
3 La 0.883 0.617 0.000
4 La 0.383 0.883 0.000
5 Ho 0.151 0.075 0.726
6 Ho 0.651 0.151 0.726
7 Ho 0.925 0.425 0.274
8 Ho 0.425 0.349 0.274
9 Ho 0.849 0.925 0.274
10 Ho 0.349 0.849 0.274
11 Ho 0.075 0.575 0.726
12 Ho 0.575 0.651 0.726
13 Ho 0.000 0.000 0.000
14 Ho 0.500 0.500 0.000
15 Ac 0.250 0.250 0.500
16 Ac 0.750 0.750 0.500
17 Tm 0.250 0.750 0.500
18 Tm 0.750 0.250 0.500

=====

# 8
A plane-wave DFT calculation with PBE was carried out for a relaxed structure of AcLaHo2Tm.

spin magnetization	0.000	μB per formula unit
calculated total energy	-44.78	eV for the cell shown
crystal system	monoclinic
volume	35.0	Å³/atom
formation energy	0.0543	eV/atom
SG	P2_1/m (11)

a b c (Å): 5.823 6.579 9.526
angles (deg): 73.50 90.00 90.00
Fractional positions:
1 Ho 0.750 0.806 0.779
2 Ho 0.250 0.037 0.603
3 Ho 0.250 0.194 0.221
4 Ho 0.750 0.963 0.397
5 Ac 0.750 0.554 0.165
6 Ac 0.250 0.446 0.835
7 La 0.250 0.635 0.398
8 La 0.750 0.365 0.602
9 Tm 0.750 0.126 0.008
10 Tm 0.250 0.874 0.992

=====

# 9
A plane-wave DFT calculation with PBE was carried out for a relaxed structure of AcLa2Ho2Tm2.

spin magnetization	0.000	μB per formula unit
calculated total energy	-31.70	eV for the cell shown
crystal system	monoclinic
volume	34.4	Å³/atom
formation energy	0.0521	eV/atom
SG	C2/m (12)

a b c (Å): 5.179 6.343 8.114
angles (deg): 97.88 90.00 114.09
Fractional positions:
1 Ho 0.575 0.149 0.702
2 Ho 0.425 0.851 0.298
3 La 0.715 0.431 0.153
4 La 0.285 0.569 0.847
5 Tm 0.859 0.718 0.568
6 Tm 0.141 0.282 0.432
7 Ac 0.000 0.000 0.000

=====

# 10
A plane-wave DFT calculation with PBE was carried out for a relaxed structure of AcLa6Ho2Tm.

spin magnetization	0.000	μB per formula unit
calculated total energy	-92.37	eV for the cell shown
crystal system	monoclinic
volume	36.2	Å³/atom
formation energy	0.1113	eV/atom
SG	C2/c (15)

a b c (Å): 9.906 9.103 9.103
angles (deg): 117.25 93.68 93.68
Fractional positions:
1 La 0.880 0.295 0.510
2 La 0.620 0.490 0.705
3 La 0.120 0.705 0.490
4 La 0.949 0.884 0.245
5 La 0.312 0.999 0.448
6 La 0.551 0.755 0.116
7 La 0.688 0.001 0.552
8 La 0.812 0.448 0.999
9 La 0.051 0.116 0.755
10 La 0.188 0.552 0.001
11 La 0.449 0.245 0.884
12 La 0.380 0.510 0.295
13 Ho 0.047 0.307 0.205
14 Ho 0.953 0.693 0.795
15 Ho 0.547 0.205 0.307
16 Ho 0.453 0.795 0.693
17 Tm 0.750 0.587 0.413
18 Tm 0.250 0.413 0.587
19 Ac 0.750 0.026 0.974
20 Ac 0.250 0.974 0.026

=====

# 11
A plane-wave DFT calculation with PBE was carried out for a relaxed structure of AcLaHo2Tm4.

spin magnetization	0.000	μB per formula unit
calculated total energy	-71.34	eV for the cell shown
crystal system	monoclinic
volume	32.9	Å³/atom
formation energy	0.0508	eV/atom
SG	P2/m (10)

a b c (Å): 7.285 12.313 12.323
angles (deg): 130.58 126.25 90.05
Fractional positions:
1 Tm 0.758 0.758 0.504
2 Tm 0.249 0.757 0.503
3 Tm 0.734 0.242 0.988
4 Tm 0.243 0.243 0.989
5 Tm 0.751 0.243 0.497
6 Tm 0.266 0.758 0.012
7 Tm 0.242 0.242 0.496
8 Tm 0.757 0.757 0.011
9 Ho 0.500 0.500 0.000
10 Ho 0.500 0.000 0.000
11 Ho 0.000 0.000 0.500
12 Ho 0.500 0.000 0.500
13 La 0.499 0.500 0.500
14 La 0.000 0.000 0.000
15 Ac 0.000 0.500 0.500
16 Ac 0.000 0.500 0.000

=====

# 12
A plane-wave DFT calculation with PBE was carried out for a relaxed structure of AcLa5YHo2.

spin magnetization	0.000	μB per formula unit
calculated total energy	-86.12	eV for the cell shown
crystal system	orthorhombic
volume	37.1	Å³/atom
formation energy	0.1450	eV/atom
SG	Cmc2_1 (36)

a b c (Å): 5.655 12.542 9.659
angles (deg): 90.00 90.00 103.03
Fractional positions:
1 Y 0.776 0.552 0.527
2 Y 0.224 0.448 0.027
3 La 0.686 0.372 0.229
4 La 0.392 0.784 0.034
5 La 0.608 0.216 0.534
6 La 0.526 0.051 0.256
7 La 0.260 0.520 0.346
8 La 0.993 0.985 0.041
9 La 0.007 0.015 0.541
10 La 0.740 0.480 0.846
11 La 0.314 0.628 0.729
12 La 0.474 0.949 0.756
13 Ho 0.111 0.223 0.296
14 Ho 0.174 0.349 0.668
15 Ho 0.826 0.651 0.168
16 Ho 0.889 0.777 0.796
17 Ac 0.396 0.792 0.425
18 Ac 0.604 0.208 0.925

=====

# 13
A plane-wave DFT calculation with PBE was carried out for a relaxed structure of Ac2LaYHo.

spin magnetization	0.000	μB per formula unit
calculated total energy	-45.85	eV for the cell shown
crystal system	orthorhombic
volume	39.3	Å³/atom
formation energy	0.2527	eV/atom
SG	Pmma (51)

a b c (Å): 6.726 8.990 6.505
angles (deg): 90.00 90.00 90.00
Fractional positions:
1 Ho 0.000 0.000 0.500
2 Ho 0.000 0.000 0.000
3 Y 0.189 0.500 0.750
4 Y 0.811 0.500 0.250
5 La 0.577 0.000 0.250
6 La 0.423 0.000 0.750
7 Ac 0.285 0.296 0.250
8 Ac 0.715 0.296 0.750
9 Ac 0.285 0.704 0.250
10 Ac 0.715 0.704 0.750

=====

# 14
A plane-wave DFT calculation with PBE was carried out for a relaxed structure of Ac5La2YHo.

spin magnetization	0.000	μB per formula unit
calculated total energy	-80.63	eV for the cell shown
crystal system	orthorhombic
volume	41.2	Å³/atom
formation energy	0.1249	eV/atom
SG	Cmcm (63)

a b c (Å): 5.856 11.837 11.033
angles (deg): 90.00 90.00 104.32
Fractional positions:
1 Ho 0.199 0.399 0.008
2 Ho 0.801 0.601 0.508
3 Ac 0.280 0.560 0.694
4 Ac 0.280 0.560 0.322
5 Ac 0.631 0.262 0.508
6 Ac 0.500 0.000 0.258
7 Ac 0.003 0.006 0.008
8 Ac 0.500 0.000 0.758
9 Ac 0.997 0.994 0.508
10 Ac 0.720 0.440 0.194
11 Ac 0.369 0.738 0.008
12 Ac 0.720 0.440 0.822
13 La 0.115 0.230 0.266
14 La 0.115 0.230 0.750
15 La 0.885 0.770 0.766
16 La 0.885 0.770 0.250
17 Y 0.400 0.800 0.508
18 Y 0.600 0.200 0.008

=====

# 15
A plane-wave DFT calculation with PBE was carried out for a relaxed structure of Ac2La3Y6Ho.

spin magnetization	0.000	μB per formula unit
calculated total energy	-66.08	eV for the cell shown
crystal system	monoclinic
volume	35.0	Å³/atom
formation energy	0.0231	eV/atom
SG	C2/m (12)

a b c (Å): 6.401 6.401 12.029
angles (deg): 95.09 95.09 120.01
Fractional positions:
1 Ho 0.000 0.000 0.000
2 Y 0.084 0.414 0.252
3 Y 0.247 0.247 0.748
4 Y 0.414 0.084 0.252
5 Y 0.753 0.753 0.252
6 Y 0.916 0.586 0.748
7 Y 0.586 0.916 0.748
8 La 0.833 0.167 0.500
9 La 0.500 0.500 0.500
10 La 0.167 0.833 0.500
11 Ac 0.334 0.666 0.000
12 Ac 0.666 0.334 0.000

=====

# 16
A plane-wave DFT calculation with PBE was carried out for a relaxed structure of AcLaY3Ho.

spin magnetization	0.000	μB per formula unit
calculated total energy	-65.51	eV for the cell shown
crystal system	monoclinic
volume	34.8	Å³/atom
formation energy	0.0418	eV/atom
SG	P2_1/m (11)

a b c (Å): 3.681 10.978 10.981
angles (deg): 109.86 90.00 90.00
Fractional positions:
1 La 0.750 0.870 0.370
2 La 0.250 0.130 0.630
3 Ho 0.750 0.381 0.881
4 Ho 0.250 0.619 0.119
5 Ac 0.750 0.870 0.711
6 Ac 0.250 0.130 0.289
7 Y 0.750 0.383 0.545
8 Y 0.250 0.617 0.455
9 Y 0.750 0.868 0.039
10 Y 0.250 0.132 0.961
11 Y 0.750 0.384 0.205
12 Y 0.250 0.616 0.795

=====

# 17
A plane-wave DFT calculation with PBE was carried out for a relaxed structure of AcLa2Y6Ho3.

spin magnetization	0.000	μB per formula unit
calculated total energy	-66.10	eV for the cell shown
crystal system	monoclinic
volume	33.6	Å³/atom
formation energy	0.0320	eV/atom
SG	C2/m (12)

a b c (Å): 6.295 6.295 11.932
angles (deg): 95.04 95.04 119.99
Fractional positions:
1 Ho 0.833 0.167 0.500
2 Ho 0.167 0.833 0.500
3 Ho 0.500 0.500 0.500
4 La 0.667 0.333 0.000
5 La 0.333 0.667 0.000
6 Ac 0.000 0.000 0.000
7 Y 0.248 0.248 0.742
8 Y 0.752 0.752 0.258
9 Y 0.087 0.421 0.257
10 Y 0.579 0.913 0.743
11 Y 0.421 0.087 0.257
12 Y 0.913 0.579 0.743

=====

# 18
A plane-wave DFT calculation with PBE was carried out for a relaxed structure of AcLaYHo2.

spin magnetization	0.000	μB per formula unit
calculated total energy	-48.87	eV for the cell shown
crystal system	monoclinic
volume	35.2	Å³/atom
formation energy	0.0443	eV/atom
SG	P2_1/m (11)

a b c (Å): 5.894 6.406 9.873
angles (deg): 70.87 90.00 90.00
Fractional positions:
1 Ho 0.250 0.033 0.597
2 Ho 0.750 0.775 0.796
3 Ho 0.750 0.967 0.403
4 Ho 0.250 0.225 0.204
5 Y 0.750 0.166 0.004
6 Y 0.250 0.834 0.996
7 Ac 0.750 0.570 0.198
8 Ac 0.250 0.430 0.802
9 La 0.250 0.641 0.402
10 La 0.750 0.359 0.598

=====

# 19
A plane-wave DFT calculation with PBE was carried out for a relaxed structure of AcLa3YHo.

spin magnetization	0.000	μB per formula unit
calculated total energy	-59.40	eV for the cell shown
crystal system	monoclinic
volume	36.5	Å³/atom
formation energy	0.0389	eV/atom
SG	P2_1/m (11)

a b c (Å): 5.313 8.211 11.124
angles (deg): 115.42 90.00 90.00
Fractional positions:
1 La 0.250 0.130 0.959
2 La 0.750 0.870 0.041
3 La 0.750 0.372 0.545
4 La 0.250 0.628 0.455
5 La 0.250 0.619 0.792
6 La 0.750 0.381 0.208
7 Ac 0.750 0.879 0.706
8 Ac 0.250 0.121 0.294
9 Y 0.750 0.378 0.876
10 Y 0.250 0.622 0.124
11 Ho 0.750 0.871 0.373
12 Ho 0.250 0.129 0.627

=====

# 20
A plane-wave DFT calculation with PBE was carried out for a relaxed structure of AcLa2Y2Ho2.

spin magnetization	0.000	μB per formula unit
calculated total energy	-35.73	eV for the cell shown
crystal system	monoclinic
volume	35.0	Å³/atom
formation energy	0.0446	eV/atom
SG	C2/m (12)

a b c (Å): 5.212 6.378 8.179
angles (deg): 97.94 90.00 114.12
Fractional positions:
1 Ho 0.574 0.147 0.704
2 Ho 0.426 0.853 0.296
3 Y 0.142 0.283 0.431
4 Y 0.858 0.717 0.569
5 Ac 0.000 0.000 0.000
6 La 0.285 0.569 0.852
7 La 0.715 0.431 0.148